VASP calculation (PBE+U) on crystalline CaCrO2 at its relaxed geometry.

Properties
- Offset from the most stable computed form: 796 meV/atom

Unit cell a=4.626 b=4.626 c=10.948 alpha=90.00 beta=90.00 gamma=90.00
Space group I-42d (No. 122)
Symmetry-distinct sites (fractional):
Ca1 0.000 0.000 0.000 [4 per cell]
Cr1 0.000 0.000 0.500 [4 per cell]
O1 0.186 0.250 0.625 [8 per cell]

VASP calculation (PBE+U) on crystalline CaCrO2 at its relaxed geometry.

Properties
- Offset from the most stable computed form: 234 meV/atom

Unit cell a=18.160 b=3.106 c=9.481 alpha=90.00 beta=113.73 gamma=90.00
Space group C2/m (No. 12)
Symmetry-distinct sites (fractional):
Ca1 0.017 0.000 0.285 [4 per cell]
Ca2 0.160 0.500 0.692 [4 per cell]
Cr1 0.154 0.500 0.006 [4 per cell]
Cr2 0.193 0.000 0.358 [4 per cell]
O1 0.112 0.500 0.321 [4 per cell]
O2 0.121 0.000 0.837 [4 per cell]
O3 0.197 0.000 0.152 [4 per cell]
O4 0.223 0.000 0.589 [4 per cell]

VASP calculation (PBE+U) on crystalline CaCr2O4 at its relaxed geometry.

Properties
- Offset from the most stable computed form: 144 meV/atom

Unit cell a=6.2231 b=6.2231 c=15.3569 alpha=90.00 beta=90.00 gamma=120.00
Space group P3m1 (No. 156)
Symmetry-distinct sites (fractional):
Ca1 0.0000 0.0000 0.0000 [1 per cell]
Ca2 0.0000 0.0000 0.2441 [1 per cell]
Ca3 0.3333 0.6667 0.5772 [1 per cell]
Ca4 0.6667 0.3333 0.2856 [1 per cell]
Ca5 0.6667 0.3333 0.6630 [1 per cell]
Ca6 0.6667 0.3333 0.9107 [1 per cell]
Cr1 0.0000 0.0000 0.6245 [1 per cell]
Cr2 0.1670 0.3340 0.7879 [3 per cell]
Cr3 0.3258 0.1629 0.4581 [3 per cell]
Cr4 0.3333 0.6667 0.3358 [1 per cell]
Cr5 0.3333 0.6667 0.9533 [1 per cell]
Cr6 0.5004 0.0008 0.1179 [3 per cell]
O1 0.0000 0.0000 0.3923 [1 per cell]
O2 0.0000 0.0000 0.8535 [1 per cell]
O3 0.9997 0.4999 0.3873 [3 per cell]
O4 0.0492 0.5246 0.8629 [3 per cell]
O5 0.1398 0.2797 0.5337 [3 per cell]
O6 0.1939 0.3878 0.0415 [3 per cell]
O7 0.2845 0.1423 0.7107 [3 per cell]
O8 0.3333 0.6667 0.1996 [1 per cell]
O9 0.3333 0.6667 0.7211 [1 per cell]
O10 0.3630 0.1815 0.1851 [3 per cell]
O11 0.6667 0.3333 0.0524 [1 per cell]
O12 0.6667 0.3333 0.5178 [1 per cell]

VASP calculation (PBE+U) on crystalline CaCr2O4 at its relaxed geometry.

Properties
- Offset from the most stable computed form: 21 meV/atom

Unit cell a=8.822 b=8.822 c=8.822 alpha=90.00 beta=90.00 gamma=90.00
Space group Fd-3m (No. 227, origin choice 2)
Symmetry-distinct sites (fractional):
Ca1 0.125 0.125 0.125 [8 per cell]
Cr1 0.000 0.000 0.500 [16 per cell]
O1 0.019 0.019 0.731 [32 per cell]

VASP calculation (PBE+U) on crystalline CaCr2O4 at its relaxed geometry.

Properties
- Offset from the most stable computed form: 366 meV/atom

Unit cell a=7.233 b=7.233 c=5.896 alpha=90.00 beta=90.00 gamma=90.00
Space group I-42d (No. 122)
Symmetry-distinct sites (fractional):
Ca1 0.000 0.000 0.000 [4 per cell]
Cr1 0.210 0.750 0.625 [8 per cell]
O1 0.057 0.712 0.899 [16 per cell]

VASP calculation (PBE+U) on crystalline Ca5CrO6 at its relaxed geometry.

Properties
- E: -6.633 eV/atom

Unit cell a=5.803 b=10.219 c=5.799 alpha=90.00 beta=108.07 gamma=90.00
Space group C2/m (No. 12)
Symmetry-distinct sites (fractional):
Ca1 0.000 0.000 0.000 [2 per cell]
Ca2 0.000 0.169 0.500 [4 per cell]
Ca3 0.000 0.335 0.000 [4 per cell]
Cr1 0.000 0.500 0.500 [2 per cell]
O1 0.233 0.500 0.268 [4 per cell]
O2 0.246 0.166 0.246 [8 per cell]

no.,V (Å³/atom)
1,14.64
2,15.30
3,12.26
4,12.26
5,11.02
6,13.62